1.
LiTi3Se6 GGA-PBE relaxed; DFT total energy = -5.816 eV per atom; formation energy from raw total energies = -1.165 eV per atom; volume = 21.6 Å³ per atom; offset from the most stable computed form = 0.0000 eV per atom
1.0
3.576 0.000 0.000
-1.788 3.096 0.000
0.000 0.000 19.528
Li Ti Se
1 3 6
direct
0.000 0.000 0.000
0.000 0.000 0.171
0.000 0.000 0.500
0.000 0.000 0.829
0.333 0.667 0.247
0.333 0.667 0.579
0.333 0.667 0.912
0.667 0.333 0.088
0.667 0.333 0.421
0.667 0.333 0.753

---

2.
La3Nd6Dy GGA-PBE relaxed; DFT total energy = -4.551 eV per atom; volume = 36.3 Å³ per atom; offset from the most stable computed form = 0.0809 eV per atom; ΔH_f (0 K) = 2.484 eV per formula unit
1.0
6.142 -3.450 0.000
6.142 3.450 0.000
-2.663 0.000 8.557
La Nd Dy
3 6 1
direct
0.000 0.000 0.000
0.475 0.475 0.180
0.525 0.525 0.820
0.026 0.476 0.821
0.298 0.298 0.490
0.476 0.026 0.821
0.524 0.974 0.179
0.702 0.702 0.510
0.974 0.524 0.179
0.000 0.000 0.500

---

3.
SnTe2Br GGA-PBE relaxed; DFT total energy = -2.954 eV per atom; formation energy from raw total energies = 0.036 eV per atom; volume = 37.1 Å³ per atom; offset from the most stable computed form = 0.1449 eV per atom
1.0
-3.994 3.994 4.652
3.994 -3.994 4.652
3.994 3.994 -4.652
Sn Te Br
2 4 2
direct
0.000 0.000 0.000
0.750 0.250 0.500
0.086 0.625 0.961
0.375 0.336 0.461
0.664 0.125 0.039
0.875 0.914 0.539
0.250 0.750 0.500
0.500 0.500 0.000

---

4.
MnFeBr2 GGA-PBE relaxed; DFT total energy = -5.125 eV per atom; formation energy from raw total energies = 0.119 eV per atom; volume = 23.3 Å³ per atom; offset from the most stable computed form = 0.1694 eV per atom
1.0
4.099 -1.711 0.000
4.099 1.711 0.000
-0.908 0.000 6.633
Mn Fe Br
1 1 2
direct
0.000 0.000 0.000
0.720 0.720 0.144
0.256 0.256 0.825
0.466 0.466 0.322

---

5.
Na2SmMnSe4 GGA-PBE relaxed; DFT total energy = -4.952 eV per atom; formation energy from raw total energies = -1.144 eV per atom; volume = 24.6 Å³ per atom
1.0
6.916 0.000 0.000
0.000 4.066 0.000
-2.324 0.000 7.007
Na Sm Mn Se
2 1 1 4
direct
0.000 0.000 0.000
0.500 0.500 0.000
0.000 0.500 0.500
0.500 0.000 0.500
0.272 0.000 0.723
0.282 0.500 0.283
0.718 0.500 0.717
0.728 0.000 0.277

---

6.
SrTaCr2 GGA-PBE relaxed; DFT total energy = -7.485 eV per atom; volume = 20.3 Å³ per atom; offset from the most stable computed form = 0.0840 eV per atom; ΔH_f (0 K) = 2.843 eV per formula unit
1.0
2.982 0.000 0.000
0.000 3.750 0.000
-0.795 0.000 7.248
Sr Ta Cr
1 1 2
direct
0.000 0.000 0.000
0.703 0.500 0.372
0.175 0.000 0.551
0.515 0.500 0.675

---

7.
Ac4Zn3Pb GGA-PBE relaxed; DFT total energy = -3.289 eV per atom; volume = 31.6 Å³ per atom; offset from the most stable computed form = 0.0000 eV per atom; ΔH_f (0 K) = -2.349 eV per formula unit
1.0
11.228 0.000 0.000
0.000 8.021 0.000
0.000 0.000 5.613
Ac Zn Pb
8 6 2
direct
0.000 0.238 0.000
0.000 0.762 0.000
0.250 0.238 0.499
0.250 0.762 0.499
0.500 0.238 0.000
0.500 0.762 0.000
0.750 0.238 0.501
0.750 0.762 0.501
0.000 0.000 0.500
0.250 0.000 0.999
0.250 0.500 0.000
0.500 0.000 0.500
0.750 0.000 0.001
0.750 0.500 0.000
0.000 0.500 0.500
0.500 0.500 0.500

---

8.
YTlI4 GGA-PBE relaxed; DFT total energy = -3.653 eV per atom; formation energy from raw total energies = -1.148 eV per atom; volume = 48.6 Å³ per atom; offset from the most stable computed form = 0.0000 eV per atom
1.0
7.561 -2.262 0.000
7.561 2.262 0.000
-1.872 0.000 8.521
Y Tl I
1 1 4
direct
0.000 0.000 0.000
0.500 0.500 0.500
0.121 0.121 0.320
0.383 0.383 0.098
0.617 0.617 0.902
0.879 0.879 0.680

---

9.
Tb4Dy5Mg GGA-PBE relaxed; DFT total energy = -4.210 eV per atom; volume = 31.1 Å³ per atom; offset from the most stable computed form = 0.0000 eV per atom; ΔH_f (0 K) = 1.029 eV per formula unit
1.0
4.083 0.000 0.000
0.000 4.083 0.000
0.000 0.000 18.661
Tb Dy Mg
4 5 1
direct
0.000 0.000 0.100
0.000 0.000 0.298
0.000 0.000 0.702
0.000 0.000 0.900
0.500 0.500 0.000
0.500 0.500 0.200
0.500 0.500 0.405
0.500 0.500 0.595
0.500 0.500 0.800
0.000 0.000 0.500

---

10.
Cu2I2Br7 GGA-PBE relaxed; DFT total energy = -2.185 eV per atom; formation energy from raw total energies = -0.094 eV per atom; volume = 45.4 Å³ per atom
1.0
4.576 -6.535 0.000
4.576 6.535 0.000
-2.684 0.000 16.706
Cu I Br
4 4 14
direct
0.111 0.861 0.542
0.139 0.889 0.958
0.861 0.111 0.042
0.889 0.139 0.458
0.142 0.249 0.256
0.249 0.142 0.756
0.751 0.858 0.244
0.858 0.751 0.744
0.094 0.145 0.599
0.110 0.380 0.410
0.145 0.094 0.099
0.180 0.649 0.008
0.351 0.820 0.492
0.380 0.110 0.910
0.447 0.553 0.250
0.553 0.447 0.750
0.620 0.890 0.090
0.649 0.180 0.508
0.820 0.351 0.992
0.855 0.906 0.901
0.890 0.620 0.590
0.906 0.855 0.401

---

11.
Ba3Pu2O6 GGA-PBE relaxed; DFT total energy = -8.552 eV per atom; formation energy from raw total energies = -2.718 eV per atom; volume = 19.8 Å³ per atom
1.0
-2.238 2.238 10.880
2.238 -2.238 10.880
2.238 2.238 -10.880
Ba Pu O
3 2 6
direct
0.000 0.000 0.000
0.184 0.184 0.000
0.816 0.816 0.000
0.402 0.402 0.000
0.598 0.598 0.000
0.087 0.587 0.500
0.301 0.301 0.000
0.413 0.913 0.500
0.587 0.087 0.500
0.699 0.699 0.000
0.913 0.413 0.500

---

12.
La2PrY7 GGA-PBE relaxed; DFT total energy = -5.322 eV per atom; volume = 39.5 Å³ per atom; offset from the most stable computed form = 0.6410 eV per atom; ΔH_f (0 K) = 6.663 eV per formula unit
1.0
4.346 -8.495 0.000
4.346 8.495 0.000
0.000 0.000 5.351
La Pr Y
2 1 7
direct
0.201 0.799 0.000
0.799 0.201 0.000
0.500 0.500 0.500
0.000 0.000 0.000
0.209 0.432 0.000
0.287 0.713 0.500
0.432 0.209 0.000
0.568 0.791 0.000
0.713 0.287 0.500
0.791 0.568 0.000

---

Number 1: total magnetization 0.0 μB per formula unit. Number 2: total magnetization 0.0 μB per formula unit. Number 3: total magnetization 0.0 μB per formula unit. Number 4: total magnetization 7.1 μB per formula unit. Number 5: total magnetization 4.0 μB per formula unit. Number 6: total magnetization 0.0 μB per formula unit. Number 7: total magnetization 0.0 μB per formula unit. Number 8: total magnetization 0.0 μB per formula unit. Number 9: total magnetization 0.0 μB per formula unit. Number 10: total magnetization 0.0 μB per formula unit. Number 11: total magnetization 10.0 μB per formula unit. Number 12: total magnetization 0.0 μB per formula unit.